InGaPb2 | GGA-PBE | relaxed

```
InGaPb2
1.0
-0.8655 -5.0005 -4.4580
4.4620 2.9227 -4.1445
6.5371 -4.3351 -1.5240
Pb Ga In
4 2 2
Cartesian
1.6747 -3.7075 -3.5638
4.2912 -0.0185 -3.6501
6.3731 -3.9509 -4.4819
7.9281 -5.1491 -8.5573
1.7982 -1.0389 -4.3013
6.3986 -1.2257 -4.9849
0.0000 0.0000 0.0000
3.7349 -5.1873 -5.1416
```

Output
Magnetization: 0.00 μB per formula unit
ΔH_f (0 K): 0.2825 eV per atom
Volume: 292.3 Å³/cell
Energy relative to the lowest polymorph listed for this composition: 236 meV per atom
Density: 6.81 g cm⁻³

=====

Ce2CdPb4 | GGA-PBE | relaxed

```
Ce2CdPb4
1.0
5.5769 0.0000 0.0000
0.0000 5.5769 0.0000
-2.7884 -2.7884 7.9188
Ce Cd Pb
2 1 4
Cartesian
0.0000 0.0000 6.0155
2.7884 2.7884 1.9034
0.0000 0.0000 0.0000
0.0000 0.0000 2.8410
2.7884 2.7884 5.0778
0.0000 2.7884 0.0000
2.7884 0.0000 0.0000
```

Output
Magnetization: 2.06 μB per formula unit
ΔH_f (0 K): 0.1322 eV per atom
Volume: 246.3 Å³/cell
Energy relative to the lowest polymorph listed for this composition: 414 meV per atom
Density: 8.24 g cm⁻³

=====

CsBaV2Br8 | GGA-PBE | relaxed

```
CsBaV2Br8
1.0
-5.6901 0.6721 -4.4014
5.0456 -4.9908 -1.3549
-5.5430 -7.2487 6.0591
Cs Ba V Br
1 1 2 8
Cartesian
0.0000 0.0000 0.0000
-2.7715 -3.6244 3.0295
-3.4609 -2.9801 -1.9109
-2.7266 -8.5873 2.2137
-3.9408 -10.1752 3.5410
-1.9323 -3.7036 -0.1149
-5.4383 -1.7926 -1.0360
-2.2467 -1.3922 -3.2382
-0.7492 -9.7748 1.3388
-4.2552 -7.8638 0.4177
-2.1146 -6.7361 3.7250
-4.0729 -4.8313 -3.4223
```

Output
Magnetization: 5.00 μB per formula unit
Uncorrected formation energy: -1.2224 eV/atom
Volume: 495.2 Å³/cell
Density: 3.39 g cm⁻³

=====

Zr4PbS8 | GGA-PBE | relaxed

```
Zr4PbS8
1.0
-3.3661 -3.7868 5.2465
3.8273 -4.5013 4.2764
1.3072 2.5949 7.7813
Zr Pb S
4 1 8
Cartesian
1.9137 -2.2506 2.1382
0.2306 -4.1440 4.7615
-1.6831 -1.8934 2.6233
0.0000 0.0000 0.0000
0.8842 -2.8466 8.6521
-0.5552 -1.8344 11.0058
-1.2898 -3.4999 6.7858
2.3236 -3.8587 6.2985
0.6328 -5.7609 8.9339
1.3757 -4.0404 13.1755
0.3927 -1.6527 4.1288
1.1356 0.0677 8.3703
3.0582 -2.1933 10.5184
```

Output
Magnetization: 0.00 μB per formula unit
Uncorrected formation energy: -1.3993 eV/atom
Volume: 329.8 Å³/cell
Energy relative to the lowest polymorph listed for this composition: 0 meV per atom
Density: 4.17 g cm⁻³

=====

Nd5Zn2Te2 | GGA-PBE | relaxed

```
Nd5Zn2Te2
1.0
-5.4613 3.4421 5.0200
-5.9111 -2.1843 -4.9331
-3.4758 -5.2923 6.5083
Nd Zn Te
10 4 4
Cartesian
0.0000 0.0000 0.0000
-5.6862 0.6289 0.0435
-6.0545 -2.6378 6.3108
-11.8731 -2.9576 4.6655
-8.1101 -4.2972 3.0170
-9.8175 -1.2982 7.9593
-8.7937 -1.3967 0.2845
-2.9752 -1.0769 1.9297
-6.7381 0.2627 3.5782
-5.0308 -2.7363 -1.3641
-2.9301 -0.4029 -1.2528
-8.4424 1.6607 1.3397
-7.2564 -0.6312 -2.4594
-4.1161 1.8889 2.5463
-3.1756 -2.4668 4.8975
-8.8618 -1.8379 4.9409
-5.7615 0.6166 6.6308
-5.9864 -2.1967 1.6543
```

Output
Magnetization: 0.00 μB per formula unit
Uncorrected formation energy: -0.7420 eV/atom
Volume: 530.6 Å³/cell
Density: 6.93 g cm⁻³

=====

ErMg6 | GGA-PBE | relaxed

```
ErMg6
1.0
-1.2625 -4.2894 -4.0987
4.9984 -3.0264 1.6277
-5.0358 -4.7879 6.5618
Er Mg
2 12
Cartesian
-0.6312 -2.1447 -2.0493
2.4992 -1.5132 0.8138
1.1213 -4.3679 -0.2625
-0.7467 -0.7099 0.9730
-4.2891 -4.0780 5.5888
-2.4211 -7.7359 4.3533
0.5063 -7.3068 0.0643
1.9106 -5.6302 2.3654
-1.7976 -5.1302 -0.1157
-0.3933 -3.4536 2.1854
0.0617 -8.4548 2.7910
-0.0801 -5.8421 4.5886
-2.6327 -7.6050 1.3433
-2.7745 -4.9923 3.1409
```

Output
Magnetization: 0.00 μB per formula unit
ΔH_f (0 K): 0.0977 eV per atom
Volume: 351.6 Å³/cell
Energy relative to the lowest polymorph listed for this composition: 75 meV per atom
Density: 2.96 g cm⁻³

=====

CePm2Dy4 | GGA-PBE | relaxed

```
CePm2Dy4
1.0
-1.4135 -1.9643 2.6555
3.0514 -1.0545 -1.5862
9.0949 11.9459 13.6777
Dy Ce Pm
4 1 2
Cartesian
9.8150 8.7159 14.1022
6.8062 4.5251 6.9702
2.1754 2.8545 3.2695
6.7737 8.5873 12.3882
6.7990 5.7480 10.3014
0.7272 -0.3539 2.5557
3.7704 2.7142 6.4452
```

Output
Magnetization: 0.91 μB per formula unit
ΔH_f (0 K): 0.0416 eV per atom
Volume: 226.2 Å³/cell
Density: 7.93 g cm⁻³

=====

YMg2TcN4 | GGA-PBE | relaxed

```
YMg2TcN4
1.0
-0.4436 -2.3189 -2.2412
5.1409 2.5626 -1.3050
5.2514 -7.2462 6.4580
Y Mg Tc N
2 4 2 8
Cartesian
4.7189 -5.2120 4.4587
5.2297 -1.7905 -1.5468
6.5777 -2.7697 1.5637
1.0742 -1.0636 -1.4763
3.3710 -4.2328 1.3482
8.8744 -5.9388 4.3882
6.8681 -5.6952 2.1690
3.0805 -1.3073 0.7429
3.3314 -0.0938 -0.5624
5.2456 -5.0161 1.7875
6.6172 -6.9087 3.4743
4.7030 -1.9864 1.1244
2.6257 -3.6231 3.2290
0.0000 0.0000 0.0000
8.1456 -4.2346 2.7691
1.8030 -2.7679 0.1429
```

Output
Magnetization: 0.00 μB per formula unit
Uncorrected formation energy: -0.5786 eV/atom
Volume: 203.4 Å³/cell
Density: 4.76 g cm⁻³

=====

What did the second record say?
Ce2CdPb4 | GGA-PBE | relaxed

```
Ce2CdPb4
1.0
5.5769 0.0000 0.0000
0.0000 5.5769 0.0000
-2.7884 -2.7884 7.9188
Ce Cd Pb
2 1 4
Cartesian
0.0000 0.0000 6.0155
2.7884 2.7884 1.9034
0.0000 0.0000 0.0000
0.0000 0.0000 2.8410
2.7884 2.7884 5.0778
0.0000 2.7884 0.0000
2.7884 0.0000 0.0000
```

Output
Magnetization: 2.06 μB per formula unit
ΔH_f (0 K): 0.1322 eV per atom
Volume: 246.3 Å³/cell
Energy relative to the lowest polymorph listed for this composition: 414 meV per atom
Density: 8.24 g cm⁻³